No. 1
Material: NbNiAsIr
Method: DFT, GGA-PBE
State: relaxed

Cell: 4.393 4.393 4.393 Å, 60.00 60.00 60.00°
Element x y z (fractional)
Nb: 0.000 0.000 0.000
Ni: 0.500 0.500 0.500
As: 0.250 0.250 0.250
Ir: 0.750 0.750 0.750

DFT total energy = -7.42 eV per atom
Crystal system = cubic
Space-group type = F-43m
V = 14.99 A^3/atom

***

No. 2
Material: NdAsIr
Method: DFT, GGA-PBE
State: relaxed

Cell: 4.741 4.741 4.741 Å, 60.00 60.00 60.00°
Element x y z (fractional)
Nd: 0.000 0.000 0.000
As: 0.750 0.750 0.750
Ir: 0.250 0.250 0.250

DFT total energy = -5.95 eV per atom
Crystal system = cubic
Space-group type = F-43m
V = 25.11 A^3/atom

***

No. 3
Material: NdAsIr
Method: DFT, GGA-PBE
State: relaxed

Cell: 4.606 4.606 4.606 Å, 60.00 60.00 60.00°
Element x y z (fractional)
Nd: 0.000 0.000 0.000
As: 0.500 0.500 0.500
Ir: 0.750 0.750 0.750

DFT total energy = -6.68 eV per atom
Crystal system = cubic
Space-group type = F-43m
V = 23.03 A^3/atom

***

No. 4
Material: NdAsIrO
Method: DFT, GGA-PBE
State: relaxed

Cell: 3.378 7.947 5.340 Å, 90.00 90.00 90.00°
Element x y z (fractional)
Nd: 0.000 0.156 0.000
Nd: 0.000 0.844 0.500
As: 0.000 0.442 0.488
As: 0.000 0.558 0.988
Ir: 0.500 0.234 0.500
Ir: 0.500 0.766 0.000
O: 0.500 0.005 0.743
O: 0.500 0.995 0.243

DFT total energy = -7.00 eV per atom
Crystal system = orthorhombic
Space-group type = Pmc2_1
V = 17.92 A^3/atom

***

No. 5
Material: NdAsIrO
Method: DFT, GGA-PBE
State: relaxed

Cell: 4.480 4.233 7.354 Å, 90.00 90.00 90.00°
Element x y z (fractional)
Nd: 0.000 0.247 0.000
Nd: 0.000 0.753 0.500
As: 0.500 0.249 0.666
As: 0.500 0.751 0.166
Ir: 0.500 0.252 0.333
Ir: 0.500 0.748 0.833
O: 0.000 0.253 0.332
O: 0.000 0.747 0.832

DFT total energy = -7.10 eV per atom
Crystal system = orthorhombic
Space-group type = Pmc2_1
V = 17.43 A^3/atom

***

No. 6
Material: Nd2ZrAs2IrO2
Method: DFT, GGA-PBE
State: relaxed

Cell: 4.091 4.091 8.957 Å, 90.00 90.00 90.00°
Element x y z (fractional)
Nd: 0.000 0.500 0.129
Nd: 0.500 0.000 0.871
Zr: 0.000 0.000 0.500
As: 0.000 0.500 0.686
As: 0.500 0.000 0.314
Ir: 0.500 0.500 0.500
O: 0.000 0.000 0.000
O: 0.500 0.500 0.000

DFT total energy = -7.73 eV per atom
Crystal system = tetragonal
Space-group type = P-4m2
V = 18.73 A^3/atom

***

No. 7
Material: NdSiAs3Ir6
Method: DFT, GGA-PBE
State: relaxed

Cell: 7.199 7.199 3.945 Å, 90.00 90.00 120.00°
Element x y z (fractional)
Nd: 0.000 0.000 0.000
Si: 0.333 0.667 0.000
As: 0.383 0.192 0.500
As: 0.808 0.192 0.500
As: 0.808 0.617 0.500
Ir: 0.202 0.404 0.500
Ir: 0.202 0.798 0.500
Ir: 0.529 0.058 0.000
Ir: 0.529 0.471 0.000
Ir: 0.596 0.798 0.500
Ir: 0.942 0.471 0.000

DFT total energy = -7.53 eV per atom
Crystal system = hexagonal
Space-group type = P-6m2
V = 16.10 A^3/atom

***

No. 8
Material: NiAsIrPd
Method: DFT, GGA-PBE
State: relaxed

Cell: 4.341 4.341 4.341 Å, 60.00 60.00 60.00°
Element x y z (fractional)
Ni: 0.000 0.000 0.000
As: 0.750 0.750 0.750
Ir: 0.250 0.250 0.250
Pd: 0.500 0.500 0.500

DFT total energy = -5.84 eV per atom
Crystal system = cubic
Space-group type = F-43m
V = 14.46 A^3/atom

***

No. 9
Material: PrNiAs2Ir
Method: DFT, GGA-PBE
State: relaxed

Cell: 4.207 4.207 9.957 Å, 90.00 90.00 90.00°
Element x y z (fractional)
Pr: 0.250 0.250 0.245
Pr: 0.750 0.750 0.755
Ni: 0.250 0.250 0.882
Ni: 0.750 0.750 0.118
As: 0.250 0.250 0.645
As: 0.250 0.750 0.000
As: 0.750 0.250 0.000
As: 0.750 0.750 0.355
Ir: 0.250 0.750 0.500
Ir: 0.750 0.250 0.500

Crystal system = tetragonal
Energy above the most stable polymorph in this dataset = 0.0 kJ per mole of atoms
Space-group type = P4/nmm
V = 17.62 A^3/atom

***

No. 10
Material: PrNiAs2Ir
Method: DFT, GGA-PBE
State: relaxed

Cell: 4.329 4.329 9.741 Å, 90.00 90.00 90.00°
Element x y z (fractional)
Pr: 0.250 0.250 0.245
Pr: 0.750 0.750 0.755
Ni: 0.250 0.750 0.000
Ni: 0.750 0.250 0.000
As: 0.250 0.250 0.879
As: 0.250 0.750 0.500
As: 0.750 0.250 0.500
As: 0.750 0.750 0.121
Ir: 0.250 0.250 0.622
Ir: 0.750 0.750 0.378

Crystal system = tetragonal
Energy above the most stable polymorph in this dataset = 1.5 kJ per mole of atoms
Space-group type = P4/nmm
V = 18.26 A^3/atom

***

No. 11
Material: AsIrO4
Method: DFT, GGA-PBE
State: relaxed

Cell: 5.653 5.653 5.653 Å, 109.16 109.16 110.10°
Element x y z (fractional)
As: 0.375 0.625 0.750
As: 0.625 0.375 0.250
Ir: 0.125 0.875 0.250
Ir: 0.875 0.125 0.750
O: 0.175 0.232 0.556
O: 0.175 0.619 0.944
O: 0.232 0.175 0.056
O: 0.381 0.825 0.556
O: 0.619 0.175 0.444
O: 0.768 0.825 0.944
O: 0.825 0.381 0.056
O: 0.825 0.768 0.444

DFT total energy = -5.96 eV per atom
Crystal system = tetragonal
Space-group type = I4_1/amd
V = 11.59 A^3/atom

***

No. 12
Material: As2Ir2O5
Method: DFT, GGA-PBE
State: relaxed

Cell: 4.088 4.088 6.219 Å, 90.00 90.00 90.00°
Element x y z (fractional)
As: 0.000 0.000 0.217
As: 0.000 0.000 0.783
Ir: 0.500 0.500 0.000
Ir: 0.500 0.500 0.500
O: 0.000 0.000 0.500
O: 0.000 0.500 0.221
O: 0.000 0.500 0.779
O: 0.500 0.000 0.221
O: 0.500 0.000 0.779

Crystal system = tetragonal
Energy above the most stable polymorph in this dataset = 31.9 kJ per mole of atoms
Space-group type = P4/mmm
V = 11.55 A^3/atom

***

No. 13
Material: As2Ir2O5
Method: DFT, GGA-PBE
State: relaxed

Cell: 3.839 3.839 6.916 Å, 90.00 90.00 90.00°
Element x y z (fractional)
As: 0.000 0.000 0.000
As: 0.000 0.000 0.500
Ir: 0.500 0.500 0.196
Ir: 0.500 0.500 0.804
O: 0.000 0.500 0.271
O: 0.000 0.500 0.729
O: 0.500 0.000 0.271
O: 0.500 0.000 0.729
O: 0.500 0.500 0.500

Crystal system = tetragonal
Energy above the most stable polymorph in this dataset = 0.0 kJ per mole of atoms
Space-group type = P4/mmm
V = 11.33 A^3/atom

***

No. 14
Material: AsIrO
Method: DFT, GGA-PBE
State: relaxed

Cell: 4.130 4.130 2.810 Å, 90.00 90.00 120.00°
Element x y z (fractional)
As: 0.000 0.000 0.000
Ir: 0.333 0.667 0.000
O: 0.667 0.333 0.000

DFT total energy = -6.00 eV per atom
Crystal system = hexagonal
Space-group type = P-6m2
V = 13.84 A^3/atom

***

No. 15
Material: As2IrO
Method: DFT, GGA-PBE
State: relaxed

Cell: 3.938 3.938 8.756 Å, 90.00 90.00 90.00°
Element x y z (fractional)
As: 0.250 0.250 0.099
As: 0.250 0.250 0.668
As: 0.750 0.750 0.332
As: 0.750 0.750 0.901
Ir: 0.250 0.750 0.500
Ir: 0.750 0.250 0.500
O: 0.250 0.750 0.000
O: 0.750 0.250 0.000

DFT total energy = -6.00 eV per atom
Crystal system = tetragonal
Space-group type = P4/nmm
V = 16.98 A^3/atom

***

No. 16
Material: As2IrO
Method: DFT, GGA-PBE
State: relaxed

Cell: 4.145 4.798 6.890 Å, 90.00 90.00 90.00°
Element x y z (fractional)
As: 0.000 0.168 0.000
As: 0.000 0.832 0.500
As: 0.500 0.292 0.202
As: 0.500 0.708 0.702
Ir: 0.000 0.295 0.666
Ir: 0.000 0.705 0.166
O: 0.500 0.340 0.620
O: 0.500 0.660 0.120

DFT total energy = -5.79 eV per atom
Crystal system = orthorhombic
Space-group type = Pmc2_1
V = 17.13 A^3/atom

***

No. 17
Material: AsIrO4
Method: DFT, GGA-PBE
State: relaxed

Cell: 4.345 4.345 13.549 Å, 90.00 90.00 120.00°
Element x y z (fractional)
As: 0.000 0.524 0.167
As: 0.476 0.476 0.500
As: 0.524 0.000 0.833
Ir: 0.000 0.571 0.667
Ir: 0.429 0.429 0.000
Ir: 0.571 0.000 0.333
O: 0.074 0.664 0.808
O: 0.085 0.664 0.302
O: 0.336 0.410 0.141
O: 0.336 0.421 0.635
O: 0.410 0.336 0.859
O: 0.421 0.336 0.365
O: 0.579 0.915 0.968
O: 0.590 0.926 0.475
O: 0.664 0.074 0.192
O: 0.664 0.085 0.698
O: 0.915 0.579 0.032
O: 0.926 0.590 0.525

DFT total energy = -6.02 eV per atom
Crystal system = trigonal
Space-group type = P3_121
V = 12.31 A^3/atom

***

No. 18
Material: AsIr2O4
Method: DFT, GGA-PBE
State: relaxed

Cell: 6.311 6.311 6.311 Å, 60.00 60.00 60.00°
Element x y z (fractional)
As: 0.125 0.125 0.125
As: 0.875 0.875 0.875
Ir: 0.000 0.500 0.500
Ir: 0.500 0.000 0.500
Ir: 0.500 0.500 0.000
Ir: 0.500 0.500 0.500
O: 0.268 0.268 0.268
O: 0.268 0.268 0.696
O: 0.268 0.696 0.268
O: 0.304 0.732 0.732
O: 0.696 0.268 0.268
O: 0.732 0.304 0.732
O: 0.732 0.732 0.304
O: 0.732 0.732 0.732

DFT total energy = -6.29 eV per atom
Crystal system = cubic
Space-group type = Fd-3m
V = 12.69 A^3/atom

***

No. 19
Material: As2IrO
Method: DFT, GGA-PBE
State: relaxed

Cell: 4.125 4.125 7.762 Å, 90.00 90.00 90.00°
Element x y z (fractional)
As: 0.250 0.250 0.237
As: 0.250 0.750 0.000
As: 0.750 0.250 0.000
As: 0.750 0.750 0.763
Ir: 0.250 0.250 0.568
Ir: 0.750 0.750 0.432
O: 0.250 0.750 0.500
O: 0.750 0.250 0.500

DFT total energy = -5.31 eV per atom
Crystal system = tetragonal
Space-group type = P4/nmm
V = 16.51 A^3/atom

***

No. 20
Material: AsPIrO
Method: DFT, GGA-PBE
State: relaxed

Cell: 4.424 4.424 5.783 Å, 90.00 90.00 90.00°
Element x y z (fractional)
As: 0.250 0.750 0.000
As: 0.750 0.250 0.000
P: 0.250 0.250 0.174
P: 0.750 0.750 0.826
Ir: 0.250 0.250 0.566
Ir: 0.750 0.750 0.434
O: 0.250 0.750 0.500
O: 0.750 0.250 0.500

Crystal system = tetragonal
Energy above the most stable polymorph in this dataset = 70.6 kJ per mole of atoms
Space-group type = P4/nmm
V = 14.14 A^3/atom

***

No. 21
Material: AsPIrO
Method: DFT, GGA-PBE
State: relaxed

Cell: 4.205 5.603 5.170 Å, 90.00 90.00 90.00°
Element x y z (fractional)
As: 0.000 0.184 0.000
As: 0.000 0.816 0.500
P: 0.000 0.260 0.485
P: 0.000 0.740 0.985
Ir: 0.500 0.432 0.563
Ir: 0.500 0.568 0.063
O: 0.500 0.226 0.894
O: 0.500 0.774 0.394

Crystal system = orthorhombic
Energy above the most stable polymorph in this dataset = 26.0 kJ per mole of atoms
Space-group type = Pmc2_1
V = 15.22 A^3/atom

***

No. 22
Material: AsPIrO
Method: DFT, GGA-PBE
State: relaxed

Cell: 3.887 3.887 8.500 Å, 90.00 90.00 90.00°
Element x y z (fractional)
As: 0.250 0.250 0.107
As: 0.750 0.750 0.893
P: 0.250 0.250 0.655
P: 0.750 0.750 0.345
Ir: 0.250 0.750 0.500
Ir: 0.750 0.250 0.500
O: 0.250 0.750 0.000
O: 0.750 0.250 0.000

Crystal system = tetragonal
Energy above the most stable polymorph in this dataset = 0.0 kJ per mole of atoms
Space-group type = P4/nmm
V = 16.05 A^3/atom

***

No. 23
Material: AsPIrO
Method: DFT, GGA-PBE
State: relaxed

Cell: 3.256 5.922 7.059 Å, 90.00 90.00 90.00°
Element x y z (fractional)
As: 0.000 0.156 0.000
As: 0.000 0.844 0.500
P: 0.500 0.319 0.810
P: 0.500 0.681 0.310
Ir: 0.500 0.360 0.494
Ir: 0.500 0.640 0.994
O: 0.000 0.174 0.413
O: 0.000 0.826 0.913

Crystal system = orthorhombic
Energy above the most stable polymorph in this dataset = 25.6 kJ per mole of atoms
Space-group type = Pmc2_1
V = 17.02 A^3/atom

***

No. 24
Material: Pr2AsPIr2O2
Method: DFT, GGA-PBE
State: relaxed

Cell: 4.048 4.048 8.488 Å, 90.00 90.00 90.00°
Element x y z (fractional)
Pr: 0.000 0.000 0.000
Pr: 0.500 0.500 0.285
As: 0.500 0.500 0.802
P: 0.000 0.000 0.483
Ir: 0.000 0.500 0.628
Ir: 0.500 0.000 0.628
O: 0.000 0.500 0.140
O: 0.500 0.000 0.140

DFT total energy = -7.75 eV per atom
Crystal system = tetragonal
Space-group type = P4mm
V = 17.39 A^3/atom

***

What are the magnetization values for these records? In order: 0.0004 0.0006 0.0014 0.0000 0.0002 0.0011 0.0005 0.0021 0.0000 0.0005 0.0013 0.0340 0.0004 0.0005 0.0039 0.0005 0.0007 0.0007 0.0005 0.0033 0.0001 0.0057 0.0004 0.0000 μB per atom.